(1)
! Zr4Cu3Re PBE-GGA relaxed; values from VASP
! Space-group type   P4/mmm
&SYSTEM
  ibrav = 0, nat = 16, ntyp = 3
/
ATOMIC_SPECIES
Cu 63.55 Cu.upf
Zr 91.22 Zr.upf
Re 186.21 Re.upf
CELL_PARAMETERS angstrom
4.661 0.000 0.000
0.000 6.545 0.000
0.000 0.000 9.322
ATOMIC_POSITIONS crystal
Cu 0.500 0.500 0.750
Cu 0.000 0.000 0.500
Zr 0.000 0.252 0.250
Zr 0.500 0.252 0.000
Zr 0.500 0.748 0.500
Zr 0.500 0.748 0.000
Cu 0.500 0.000 0.250
Cu 0.500 0.500 0.250
Zr 0.000 0.252 0.750
Cu 0.000 0.000 0.000
Re 0.000 0.500 0.000
Zr 0.000 0.748 0.750
Cu 0.500 0.000 0.750
Re 0.000 0.500 0.500
Zr 0.500 0.252 0.500
Zr 0.000 0.748 0.250


(2)
! ZrCuRe PBE-GGA relaxed; values from VASP
! Space-group type   I4mm
! Polymorph energy (0 for the lowest one)   85 meV per atom
&SYSTEM
  ibrav = 0, nat = 3, ntyp = 3
/
ATOMIC_SPECIES
Re 186.21 Re.upf
Cu 63.55 Cu.upf
Zr 91.22 Zr.upf
CELL_PARAMETERS angstrom
6.645 0.006 0.000
5.495 3.737 0.000
-6.070 -1.871 1.952
ATOMIC_POSITIONS crystal
Re 0.348 0.348 0.000
Cu 0.991 0.991 0.000
Zr 0.661 0.661 0.000


(3)
! Zr4CuRe PBE-GGA relaxed; values from VASP
! Space-group type   P4/mmm
! Polymorph energy (0 for the lowest one)   0 meV per atom
&SYSTEM
  ibrav = 0, nat = 6, ntyp = 3
/
ATOMIC_SPECIES
Zr 91.22 Zr.upf
Cu 63.55 Cu.upf
Re 186.21 Re.upf
CELL_PARAMETERS angstrom
3.298 -0.001 0.000
0.001 3.298 0.000
0.000 0.000 10.887
ATOMIC_POSITIONS crystal
Zr 0.500 0.500 0.156
Cu 0.000 0.000 0.000
Re 0.500 0.500 0.500
Zr 0.000 0.000 0.649
Zr 0.000 0.000 0.351
Zr 0.500 0.500 0.844


no.,ΔE_f (eV per atom),final energy (eV per atom)
1,-0.178,-7.54
2,0.204,-8.16
3,-0.119,-8.58